The following is a DFT calculation (PBE) of crystalline CuGe3B at its relaxed geometry.

a = 4.633 Å, b = 4.633 Å, c = 4.633 Å
α = 90.00°, β = 90.00°, γ = 90.00°
Fractional coordinates of all 5 atoms:
1 Ge 0.500 0.000 0.000
2 Ge 0.000 0.500 0.000
3 Cu 0.000 0.000 0.000
4 Ge 0.000 0.000 0.500
5 B 0.500 0.500 0.500

Computed properties:
The energy relative to the elements comes out at 6.3 eV/f.u. As for the space group: Pm-3m.